# RbTl4Pb

Crystalline RbTl4Pb at its relaxed geometry (PBE, Alexandria via LeMat-Bulk).

Geometry as CIF:
```
data_RbTl4Pb
_cell_length_a 9.420
_cell_length_b 9.420
_cell_length_c 9.420
_cell_angle_alpha 90.00
_cell_angle_beta 90.00
_cell_angle_gamma 90.00
_space_group_name_H-M_alt 'F -4 3 m'
_space_group_IT_number 216
_space_group_name_Hall 'F -4 2 3'
loop_
_atom_site_label
_atom_site_type_symbol
_atom_site_fract_x
_atom_site_fract_y
_atom_site_fract_z
Rb1 Rb 0.000 0.000 0.000
Tl1 Tl 0.124 0.124 0.376
Pb1 Pb 0.250 0.250 0.750
```

Properties
* uncorrected energy: -2.37 eV per atom
* theoretical density: 8.8 Mg/m³
* total moment: 0.000 μB/f.u.